{"formula": "K2CeBr5", "functional": "PBE-GGA", "state": "relaxed", "lattice_angstrom": [[8.6192, 0.0000, 0.0000], [0.0000, 9.2927, 0.0000], [0.0000, 0.0000, 13.6714]], "species": ["K", "K", "K", "K", "K", "K", "K", "K", "Ce", "Ce", "Ce", "Ce", "Br", "Br", "Br", "Br", "Br", "Br", "Br", "Br", "Br", "Br", "Br", "Br", "Br", "Br", "Br", "Br", "Br", "Br", "Br", "Br"], "frac_coords": [[0.9482, 0.0038, 0.8277], [0.0518, 0.9962, 0.1723], [0.4482, 0.9962, 0.6723], [0.0518, 0.5038, 0.1723], [0.5518, 0.0038, 0.3277], [0.9482, 0.4962, 0.8277], [0.5518, 0.4962, 0.3277], [0.4482, 0.5038, 0.6723], [0.9241, 0.7500, 0.5052], [0.0759, 0.2500, 0.4948], [0.4241, 0.2500, 0.9948], [0.5759, 0.7500, 0.0052], [0.1269, 0.7500, 0.6799], [0.8731, 0.2500, 0.3201], [0.6269, 0.2500, 0.8201], [0.3731, 0.7500, 0.1799], [0.8345, 0.0441, 0.5781], [0.1655, 0.9559, 0.4219], [0.3345, 0.9559, 0.9219], [0.1655, 0.5441, 0.4219], [0.6655, 0.0441, 0.0781], [0.8345, 0.4559, 0.5781], [0.6655, 0.4559, 0.0781], [0.3345, 0.5441, 0.9219], [0.5751, 0.7500, 0.5081], [0.4249, 0.2500, 0.4919], [0.0751, 0.2500, 0.9919], [0.9249, 0.7500, 0.0081], [0.6640, 0.7500, 0.7953], [0.3360, 0.2500, 0.2047], [0.1640, 0.2500, 0.7047], [0.8360, 0.7500, 0.2953]], "dos_at_fermi_per_ev_atom": 1.00, "formation_energy_uncorrected_mev_per_atom": -1816, "m_tot_mub_per_cell": 4.00}

---

{"formula": "K2CeBr4", "functional": "PBE-GGA", "state": "relaxed", "lattice_angstrom": [[-0.6061, -5.8377, -0.6373], [5.8380, -0.6683, 0.5691], [1.7055, -4.0730, 8.3429]], "species": ["K", "K", "Br", "Br", "Br", "Br", "Ce"], "frac_coords": [[0.6356, 0.6356, 0.7288], [0.3644, 0.3644, 0.2712], [0.8253, 0.8253, 0.3495], [0.1747, 0.1747, 0.6505], [0.0000, 0.5000, 0.0000], [0.5000, 0.0000, 0.0000], [0.0000, 0.0000, 0.0000]], "dos_at_fermi_per_ev_atom": 1.46, "formation_energy_uncorrected_mev_per_atom": -1560, "m_tot_mub_per_cell": 1.56}

---

{"formula": "K2Ce3Br8", "functional": "PBE-GGA", "state": "relaxed", "lattice_angstrom": [[-2.3341, 2.5149, -6.1405], [-9.3617, -1.3899, 0.6944], [-6.5599, 6.2738, 2.7681]], "species": ["K", "K", "Ce", "Ce", "Ce", "Br", "Br", "Br", "Br", "Br", "Br", "Br", "Br"], "frac_coords": [[0.3323, 0.7400, 0.7400], [0.6677, 0.2600, 0.2600], [0.5000, 0.0000, 0.0000], [0.0000, 0.7762, 0.2238], [0.0000, 0.2238, 0.7762], [0.9095, 0.4003, 0.4003], [0.0905, 0.5997, 0.5997], [0.8964, 0.8753, 0.8753], [0.1036, 0.1247, 0.1247], [0.6002, 0.3569, 0.8707], [0.6002, 0.8707, 0.3569], [0.3998, 0.1293, 0.6431], [0.3998, 0.6431, 0.1293]], "dos_at_fermi_per_ev_atom": 1.26, "formation_energy_uncorrected_mev_per_atom": -1651, "m_tot_mub_per_cell": 6.03}

---

{"formula": "K2Ce2Br7", "functional": "PBE-GGA", "state": "relaxed", "lattice_angstrom": [[4.5629, 0.0000, 0.0000], [2.2815, 9.6456, -1.5848], [2.2815, 3.1780, 9.2439]], "species": ["K", "K", "Ce", "Ce", "Br", "Br", "Br", "Br", "Br", "Br", "Br"], "frac_coords": [[0.8447, 0.6004, 0.7103], [0.1553, 0.2897, 0.3996], [0.0000, 0.0370, 0.9630], [0.5000, 0.7434, 0.2566], [0.1300, 0.5741, 0.1659], [0.8636, 0.3296, 0.9431], [0.5000, 0.4974, 0.5026], [0.3826, 0.0631, 0.1718], [0.6174, 0.8282, 0.9369], [0.8700, 0.8341, 0.4259], [0.1364, 0.0569, 0.6704]], "dos_at_fermi_per_ev_atom": 1.16, "formation_energy_uncorrected_mev_per_atom": -1698, "m_tot_mub_per_cell": 3.00}

---

{"formula": "K2Ce2Br7", "functional": "PBE-GGA", "state": "relaxed", "lattice_angstrom": [[7.8044, -0.3903, 0.4216], [0.2963, 7.2677, 1.1582], [-0.4080, -0.1251, 7.3530]], "species": ["K", "K", "Ce", "Ce", "Br", "Br", "Br", "Br", "Br", "Br", "Br"], "frac_coords": [[0.5000, 0.7548, 0.2452], [0.5000, 0.2452, 0.7548], [0.9998, 0.7214, 0.7214], [0.0002, 0.2786, 0.2786], [0.2449, 0.0002, 0.5000], [0.7551, 0.5000, 0.9998], [0.7551, 0.9998, 0.5000], [0.2449, 0.5000, 0.0002], [0.0000, 0.0000, 0.0000], [0.7690, 0.4997, 0.4997], [0.2310, 0.5003, 0.5003]], "dos_at_fermi_per_ev_atom": 1.70, "formation_energy_uncorrected_mev_per_atom": -1716, "m_tot_mub_per_cell": 3.01}

---

{"formula": "K2CeBr4", "functional": "PBE-GGA", "state": "relaxed", "lattice_angstrom": [[-0.3734, 2.0160, 3.5561], [-8.1547, -2.9280, 0.8037], [7.4890, -4.5198, 3.3487]], "species": ["K", "K", "Br", "Br", "Br", "Br", "Ce"], "frac_coords": [[0.5000, 0.8251, 0.4453], [0.5000, 0.3178, 0.5548], [0.5000, 0.7676, 0.7707], [0.0000, 0.1673, 0.7354], [0.5000, 0.3754, 0.2294], [0.0000, 0.9756, 0.2647], [0.0000, 0.0715, 0.0000]], "dos_at_fermi_per_ev_atom": 1.19, "formation_energy_uncorrected_mev_per_atom": -1612, "m_tot_mub_per_cell": 1.99}

---

{"formula": "KCe2Br6", "functional": "PBE-GGA", "state": "relaxed", "lattice_angstrom": [[-0.4345, 1.1900, 7.5348], [-1.8138, -9.0443, 5.1900], [9.2888, -1.9047, 4.7027]], "species": ["K", "K", "Ce", "Ce", "Ce", "Ce", "Br", "Br", "Br", "Br", "Br", "Br", "Br", "Br", "Br", "Br", "Br", "Br"], "frac_coords": [[0.2500, 0.2528, 0.7472], [0.7500, 0.7472, 0.2528], [0.9961, 0.8340, 0.6672], [0.5039, 0.3328, 0.1660], [0.0039, 0.1660, 0.3328], [0.4961, 0.6672, 0.8340], [0.4321, 0.7019, 0.5642], [0.0679, 0.4358, 0.2981], [0.5679, 0.2981, 0.4358], [0.9321, 0.5642, 0.7019], [0.9767, 0.8834, 0.3825], [0.5233, 0.6175, 0.1166], [0.0233, 0.1166, 0.6175], [0.4767, 0.3825, 0.8834], [0.0592, 0.7953, 0.9380], [0.4408, 0.0620, 0.2047], [0.9408, 0.2047, 0.0620], [0.5592, 0.9380, 0.7953]], "dos_at_fermi_per_ev_atom": 1.69, "formation_energy_uncorrected_mev_per_atom": -1756, "m_tot_mub_per_cell": 6.00}

---

{"formula": "K2CeBr5", "functional": "PBE-GGA", "state": "relaxed", "lattice_angstrom": [[8.5408, -0.5275, -1.0716], [-0.5347, 8.5521, 0.9883], [-4.7737, -3.2415, 6.9008]], "species": ["K", "K", "Ce", "Br", "Br", "Br", "Br", "Br"], "frac_coords": [[0.2021, 0.6096, 0.2572], [0.6503, 0.0561, 0.2595], [0.9865, 0.0162, 0.0030], [0.8523, 0.2695, 0.1227], [0.3563, 0.2891, 0.1922], [0.8984, 0.8334, 0.1862], [0.1714, 0.7777, 0.9501], [0.6596, 0.9255, 0.5831]], "dos_at_fermi_per_ev_atom": 0.71, "formation_energy_uncorrected_mev_per_atom": -1732, "m_tot_mub_per_cell": 1.00}

---

{"formula": "K5Ce2Br12", "functional": "PBE-GGA", "state": "relaxed", "lattice_angstrom": [[-6.7918, 5.1322, 2.0640], [-1.5899, -10.0280, 1.1159], [5.3796, 3.7779, 8.3083]], "species": ["K", "K", "K", "K", "K", "Ce", "Ce", "Br", "Br", "Br", "Br", "Br", "Br", "Br", "Br", "Br", "Br", "Br", "Br"], "frac_coords": [[0.2765, 0.5531, 0.5880], [0.3245, 0.6490, 0.2090], [0.0000, 0.0000, 0.5000], [0.6755, 0.3510, 0.7910], [0.7235, 0.4469, 0.4120], [0.7493, 0.0000, 0.0000], [0.2507, 0.0000, 0.0000], [0.0232, 0.0464, 0.1912], [0.1011, 0.6816, 0.9406], [0.5805, 0.6816, 0.9406], [0.1099, 0.7160, 0.4440], [0.6061, 0.7160, 0.4440], [0.4824, 0.9649, 0.8056], [0.5176, 0.0351, 0.1944], [0.8901, 0.2840, 0.5560], [0.3939, 0.2840, 0.5560], [0.8989, 0.3184, 0.0594], [0.4195, 0.3184, 0.0594], [0.9768, 0.9536, 0.8088]], "dos_at_fermi_per_ev_atom": 0.85, "formation_energy_uncorrected_mev_per_atom": -1680, "m_tot_mub_per_cell": 0.98}

---

{"formula": "K3CeBr8", "functional": "PBE-GGA", "state": "relaxed", "lattice_angstrom": [[-5.7241, 3.4807, 3.5817], [-1.2695, -6.2830, 4.0769], [8.3475, 3.8850, 1.5091]], "species": ["K", "K", "K", "Ce", "Br", "Br", "Br", "Br", "Br", "Br", "Br", "Br"], "frac_coords": [[0.7500, 0.2500, 0.5000], [0.5000, 0.5000, 0.0000], [0.2500, 0.7500, 0.5000], [0.0000, 0.0000, 0.0000], [0.3397, 0.3397, 0.2269], [0.3397, 0.8872, 0.2269], [0.1128, 0.6603, 0.7731], [0.1128, 0.1128, 0.7731], [0.8872, 0.8872, 0.2269], [0.8872, 0.3397, 0.2269], [0.6603, 0.1128, 0.7731], [0.6603, 0.6603, 0.7731]], "dos_at_fermi_per_ev_atom": 1.09, "formation_energy_uncorrected_mev_per_atom": -1451, "m_tot_mub_per_cell": 0.00}

---

{"formula": "K4CeBr6", "functional": "PBE-GGA", "state": "relaxed", "lattice_angstrom": [[9.4565, -0.0936, 0.0149], [-0.0148, 9.4570, 0.0149], [0.0943, 0.0936, 9.4561]], "species": ["K", "K", "K", "K", "K", "K", "K", "K", "Ce", "Ce", "Br", "Br", "Br", "Br", "Br", "Br", "Br", "Br", "Br", "Br", "Br", "Br"], "frac_coords": [[0.3812, 0.1188, 0.2500], [0.8812, 0.2500, 0.3812], [0.2500, 0.6188, 0.1188], [0.2500, 0.2500, 0.7500], [0.7500, 0.7500, 0.2500], [0.7500, 0.3812, 0.8812], [0.1188, 0.7500, 0.6188], [0.6188, 0.8812, 0.7500], [0.5000, 0.5000, 0.5000], [0.0000, 0.0000, 0.0000], [0.6961, 0.0559, 0.0742], [0.0742, 0.3039, 0.0559], [0.5742, 0.4441, 0.1961], [0.9441, 0.0742, 0.6961], [0.5559, 0.1961, 0.5742], [0.1961, 0.4258, 0.4441], [0.8039, 0.5742, 0.5559], [0.4441, 0.8039, 0.4258], [0.0559, 0.9258, 0.3039], [0.4258, 0.5559, 0.8039], [0.9258, 0.6961, 0.9441], [0.3039, 0.9441, 0.9258]], "dos_at_fermi_per_ev_atom": 0.86, "formation_energy_uncorrected_mev_per_atom": -1640, "m_tot_mub_per_cell": 3.52}

---

{"formula": "K2LiCeBr6", "functional": "PBE-GGA", "state": "relaxed", "lattice_angstrom": [[-4.9708, -4.5484, -4.1750], [1.7744, -1.9954, -7.4631], [1.9813, -7.4750, -1.7396]], "species": ["K", "K", "Li", "Ce", "Br", "Br", "Br", "Br", "Br", "Br"], "frac_coords": [[0.2500, 0.2500, 0.2500], [0.7500, 0.7500, 0.7500], [0.5000, 0.5000, 0.5000], [0.0000, 0.0000, 0.0000], [0.2575, 0.2575, 0.7425], [0.2575, 0.7425, 0.7425], [0.7425, 0.7425, 0.2575], [0.2575, 0.7425, 0.2575], [0.7425, 0.2575, 0.7425], [0.7425, 0.2575, 0.2575]], "dos_at_fermi_per_ev_atom": 0.81, "formation_energy_uncorrected_mev_per_atom": -1698, "m_tot_mub_per_cell": 1.00}